No. 1
VASP calculation (PBE-GGA) on an optimized crystal structure of DyTh2Hg.

Values from the calculation:
magnetization: 0.00 μB per formula unit
energy relative to the lowest polymorph listed for this composition: 0.037 eV/atom
ΔH_f (0 K): -0.0406 eV per atom
V: 30.301 Å³ per atom
E: -19.91 eV per formula unit

a = 3.521 Å, b = 3.521 Å, c = 9.777 Å
α = 90.00°, β = 90.00°, γ = 90.00°
Atoms (fractional coordinates):
Dy 0.000 0.000 0.000
Th 0.500 0.500 0.267
Th 0.500 0.500 0.733
Hg 0.000 0.000 0.500

No. 2
VASP calculation (PBE-GGA) on an optimized crystal structure of Dy4ThHg.

Values from the calculation:
magnetization: 0.00 μB per formula unit
energy relative to the lowest polymorph listed for this composition: 0.102 eV/atom
ΔH_f (0 K): -0.0344 eV per atom
V: 30.373 Å³ per atom
E: -26.34 eV per formula unit

a = 8.287 Å, b = 8.287 Å, c = 6.278 Å
α = 100.97°, β = 100.97°, γ = 115.27°
Atoms (fractional coordinates):
Dy 0.081 0.708 0.942
Dy 0.185 0.387 0.643
Dy 0.292 0.919 0.558
Dy 0.387 0.185 0.143
Dy 0.613 0.815 0.857
Dy 0.708 0.081 0.442
Dy 0.815 0.613 0.357
Dy 0.919 0.292 0.058
Th 0.391 0.609 0.250
Th 0.609 0.391 0.750
Hg 0.001 0.999 0.250
Hg 0.999 0.001 0.750

No. 3
VASP calculation (PBE-GGA) on an optimized crystal structure of DyTh3Hg4.

Values from the calculation:
magnetization: 0.02 μB per formula unit
ΔH_f (0 K): -0.2843 eV per atom
V: 26.863 Å³ per atom
E: -30.34 eV per formula unit

a = 3.470 Å, b = 3.470 Å, c = 17.853 Å
α = 90.00°, β = 90.00°, γ = 90.00°
Atoms (fractional coordinates):
Dy 0.000 0.000 0.000
Th 0.000 0.000 0.244
Th 0.000 0.000 0.500
Th 0.000 0.000 0.756
Hg 0.500 0.500 0.115
Hg 0.500 0.500 0.372
Hg 0.500 0.500 0.628
Hg 0.500 0.500 0.885

No. 4
VASP calculation (PBE-GGA) on an optimized crystal structure of Dy4ThHg5.

Values from the calculation:
magnetization: 0.01 μB per formula unit
ΔH_f (0 K): -0.4240 eV per atom
V: 26.153 Å³ per atom
E: -31.58 eV per formula unit

a = 3.711 Å, b = 3.711 Å, c = 18.993 Å
α = 90.00°, β = 90.00°, γ = 90.00°
Atoms (fractional coordinates):
Dy 0.000 0.000 0.098
Dy 0.000 0.000 0.295
Dy 0.000 0.000 0.705
Dy 0.000 0.000 0.902
Th 0.000 0.000 0.500
Hg 0.500 0.500 0.000
Hg 0.500 0.500 0.197
Hg 0.500 0.500 0.389
Hg 0.500 0.500 0.611
Hg 0.500 0.500 0.803